The following is a DFT calculation (PBE-GGA) of a geometry-optimized Hf2ScSi2Ni4Ge2 structure.

a = 7.4463 Å, b = 7.4463 Å, c = 7.4463 Å
α = 149.95°, β = 128.60°, γ = 60.69°
Last column: nearest neighbours and their distance in Å.
Positions (direct):
Ge 0.2993 0.0000 0.2993  2 Ni 2.42, 1 Ge 2.59
Ge 0.7007 0.0000 0.7007  2 Ni 2.42, 1 Ge 2.59
Sc 0.0000 0.5000 0.5000  4 Ge 2.73, 2 Si 2.76
Si 0.2147 0.7147 0.5000  6 Ni 2.36
Si 0.7853 0.2853 0.5000  6 Ni 2.36
Ni 0.9818 0.1812 0.8005  3 Si 2.36, 1 Ge 2.42, 1 Ni 2.58
Ni 0.0182 0.8188 0.1995  3 Si 2.36, 1 Ge 2.42, 1 Ni 2.58
Ni 0.6193 0.8188 0.8005  3 Si 2.36, 1 Ge 2.42, 1 Ni 2.58
Ni 0.3807 0.1812 0.1995  3 Si 2.36, 1 Ge 2.42, 1 Ni 2.58
Hf 0.3714 0.3714 0.0000  6 Ni 2.76-2.82, 2 Si 2.79, 4 Ge 2.85
Hf 0.6286 0.6286 0.0000  6 Ni 2.76-2.82, 2 Si 2.79, 4 Ge 2.85

- VASP energy (eV per cell) = -77.56
- energy relative to the lowest polymorph listed for this composition (kJ per mole of atoms) = 0.00
- M_tot (μB/cell) = 0.0
- space-group type = Immm, No. 71